Entry 1:
# SrTbCdHg, optimized geometry, DFT PBE-GGA
data_SrTbCdHg
_chemical_formula_sum 'Sr1 Tb1 Cd1 Hg1'
_space_group_name_H-M_alt 'P 4 m m'
_space_group_IT_number 99
_space_group_name_Hall 'P 4 -2'
_cell_length_a 3.879
_cell_length_b 3.879
_cell_length_c 7.764
_cell_angle_alpha 90.00
_cell_angle_beta 90.00
_cell_angle_gamma 90.00
loop_
_atom_site_label
_atom_site_fract_x
_atom_site_fract_y
_atom_site_fract_z
Sr1 0.000 0.000 0.000
Tb1 0.000 0.000 0.508
Cd1 0.500 0.500 0.283
Hg1 0.500 0.500 0.721
# Energy relative to the elements ... -0.412 eV per atom

---

Entry 2:
NaLiH2 after structural relaxation, computed with PBE-GGA.

```
data_NaLiH2
_chemical_formula_sum 'Na1 Li1 H2'
_space_group_name_H-M_alt 'P 4/m m m'
_space_group_IT_number 123
_space_group_name_Hall '-P 4 2'
_cell_length_a 2.738
_cell_length_b 2.738
_cell_length_c 5.501
_cell_angle_alpha 90.00
_cell_angle_beta 90.00
_cell_angle_gamma 90.00
loop_
_atom_site_label
_atom_site_fract_x
_atom_site_fract_y
_atom_site_fract_z
Na1 0.000 0.000 0.000
Li1 0.000 0.000 0.500
H1 0.500 0.500 0.267
```

---

Entry 3:
# GeSIN2, optimized geometry, DFT PBE-GGA
data_GeSIN2
_chemical_formula_sum 'Ge1 S1 I1 N2'
_space_group_name_H-M_alt 'P 4/m m m'
_space_group_IT_number 123
_space_group_name_Hall '-P 4 2'
_cell_length_a 3.814
_cell_length_b 3.814
_cell_length_c 6.755
_cell_angle_alpha 90.00
_cell_angle_beta 90.00
_cell_angle_gamma 90.00
loop_
_atom_site_label
_atom_site_fract_x
_atom_site_fract_y
_atom_site_fract_z
Ge1 0.000 0.000 0.000
S1 0.500 0.500 0.500
I1 0.500 0.500 0.000
N1 0.000 0.500 0.500
# Raw formation energy ... 1.759 eV/atom

---

Entry 4:
# RbSc2Pt, optimized geometry, DFT PBE-GGA
data_RbSc2Pt
_chemical_formula_sum 'Rb3 Sc6 Pt3'
_space_group_name_H-M_alt 'R -3 m'
_space_group_IT_number 166
_space_group_name_Hall '-R 3 2"'
_cell_length_a 3.2554
_cell_length_b 3.2554
_cell_length_c 35.4815
_cell_angle_alpha 90.00
_cell_angle_beta 90.00
_cell_angle_gamma 120.00
loop_
_atom_site_label
_atom_site_fract_x
_atom_site_fract_y
_atom_site_fract_z
Rb1 0.0000 0.0000 0.0000
Sc1 0.0000 0.0000 0.4299
Pt1 0.0000 0.0000 0.5000
# Energy relative to the elements ... 0.478 eV per atom

---

| no. | magnetic moment (μB/f.u.) | offset from the most stable computed form (eV/f.u.) |
| --- | --- | --- |
| 1 | 0.00 | 0.00 |
| 2 | 0.00 | 0.80 |
| 3 | 0.71 | 2.28 |
| 4 | 0.00 | 3.05 |